## BeSi2Au (PBE)

Data for crystalline BeSi2Au at its relaxed geometry.

Total energy = -4.006 eV per atom
Total moment = 0.00 μB/atom
Formation energy without anion corrections = 176.1 kJ/mol of formula units

Cell lengths 4.7533, 4.7533, 4.7533 Å; angles 131.74, 131.74, 70.64 degrees
Closest atoms and distances in Å follow each position.
Atoms (fractional coordinates):
Be  0.0000  0.0000  0.0000  8 Si 2.75, 4 Au 2.75
Si  0.2500  0.7500  0.5000  4 Be 2.75, 4 Au 2.75, 4 Si 2.75
Si  0.7500  0.2500  0.5000  4 Be 2.75, 4 Au 2.75, 4 Si 2.75
Au  0.5000  0.5000  0.0000  8 Si 2.75, 4 Be 2.75